HfReNi2F: optimized geometry, PBE with a Hubbard U.

For the size of the total moment, the calculation gives 0.001 μB/cell. For the energy, the calculation gives -25.3 eV per cell.

It has space group P4/mmm (No. 123), with a = 4.019 Å, b = 4.019 Å, c = 4.286 Å, α = 90.00°, β = 90.00° and γ = 90.00°. The inequivalent atoms are Hf at (0.000, 0.000, 0.000), Re at (0.500, 0.500, 0.000), Ni at (0.000, 0.500, 0.500) and F at (0.500, 0.500, 0.500).